# 1
The following is a PBE calculation of crystalline NbN2Cl5 at its relaxed geometry, from Alexandria.

Crystal system: monoclinic
Total energy: -4.114 eV per atom

abc: 7.4474 12.3511 7.2022
angles: 90.00 121.04 90.00
Space group Cm (No. 8)
Inequivalent atoms, fractional coordinates:
Nb 0.0000 0.0000 0.0000 [2 per cell]
N 0.4279 0.2491 0.5005 [4 per cell]
Cl 0.0997 0.0000 0.3640 [2 per cell]
Cl 0.2362 0.5000 0.6362 [2 per cell]
Cl 0.3023 0.0000 0.9997 [2 per cell]
Cl 0.4209 0.3176 0.9999 [4 per cell]

---

# 2
The following is a PBE calculation of crystalline Sm2Al3Ge4 at its relaxed geometry, from Alexandria.

Crystal system: orthorhombic
Formation energy from the elements: -470.4 meV/atom

abc: 6.0534 14.9109 7.9921
angles: 90.00 90.00 90.00
Space group Cmce (No. 64)
Inequivalent atoms, fractional coordinates:
Sm 0.0000 0.1145 0.0814 [8 per cell]
Al 0.0000 0.0000 0.5000 [4 per cell]
Al 0.2500 0.2159 0.7500 [8 per cell]
Ge 0.0000 0.1857 0.4473 [8 per cell]
Ge 0.2500 0.0459 0.7500 [8 per cell]

---

# 3
The following is a PBE calculation of crystalline MoRuPb at its relaxed geometry, from Alexandria.

Crystal system: tetragonal
Formation energy from the elements: 413.8 meV/atom

abc: 3.0388 3.0388 11.8908
angles: 90.00 90.00 90.00
Space group I4mm (No. 107)
Inequivalent atoms, fractional coordinates:
Mo 0.0000 0.0000 0.0000 [2 per cell]
Ru 0.0000 0.0000 0.6258 [2 per cell]
Pb 0.0000 0.0000 0.3091 [2 per cell]

---

# 4
The following is a PBE calculation of crystalline Fe4SnAu at its relaxed geometry, from Alexandria.

Crystal system: cubic
Formation energy from the elements: 162.2 meV/atom

abc: 7.0039 7.0039 7.0039
angles: 90.00 90.00 90.00
Space group F-43m (No. 216)
Inequivalent atoms, fractional coordinates:
Fe 0.1253 0.1253 0.1253 [16 per cell]
Sn 0.0000 0.0000 0.5000 [4 per cell]
Au 0.2500 0.2500 0.7500 [4 per cell]

---

# 5
The following is a PBE calculation of crystalline NbAsOsPd2 at its relaxed geometry, from Alexandria.

Crystal system: tetragonal
Formation energy from the elements: 986.0 meV/atom

abc: 4.4982 4.4982 4.8179
angles: 90.00 90.00 90.00
Space group P4/mmm (No. 123)
Inequivalent atoms, fractional coordinates:
Nb 0.0000 0.0000 0.0000 [1 per cell]
As 0.0000 0.0000 0.5000 [1 per cell]
Os 0.5000 0.5000 0.0000 [1 per cell]
Pd 0.0000 0.5000 0.5000 [2 per cell]

---

# 6
The following is a PBE calculation of crystalline Sc4TlC at its relaxed geometry, from Alexandria.

Crystal system: monoclinic
Formation energy from the elements: -303.5 meV/atom

abc: 14.2864 5.6447 6.3993
angles: 90.00 106.19 90.00
Space group C2/c (No. 15)
Inequivalent atoms, fractional coordinates:
Sc 0.1029 0.0869 0.4421 [8 per cell]
Sc 0.1967 0.4327 0.1665 [8 per cell]
Tl 0.0000 0.3967 0.7500 [4 per cell]
C 0.2500 0.2500 0.5000 [4 per cell]

---

# 7
The following is a PBE calculation of crystalline Y3Al6Pd20 at its relaxed geometry, from Alexandria.

Crystal system: cubic
Formation energy from the elements: -767.3 meV/atom

abc: 12.4551 12.4551 12.4551
angles: 90.00 90.00 90.00
Space group Fm-3m (No. 225)
Inequivalent atoms, fractional coordinates:
Y 0.0000 0.0000 0.0000 [4 per cell]
Y 0.2500 0.2500 0.2500 [8 per cell]
Al 0.0000 0.0000 0.2728 [24 per cell]
Pd 0.0000 0.1719 0.1719 [48 per cell]
Pd 0.1202 0.1202 0.3798 [32 per cell]

---

# 8
The following is a PBE calculation of crystalline Ta2Nb5Rh at its relaxed geometry, from Alexandria.

Crystal system: tetragonal
Formation energy from the elements: -167.0 meV/atom

abc: 4.6270 4.6270 13.2220
angles: 90.00 90.00 90.00
Space group I4/mmm (No. 139)
Inequivalent atoms, fractional coordinates:
Ta 0.0000 0.0000 0.2466 [4 per cell]
Nb 0.0000 0.0000 0.0000 [2 per cell]
Nb 0.0000 0.5000 0.1239 [8 per cell]
Rh 0.0000 0.0000 0.5000 [2 per cell]

---

The records above yield spin magnetization values of 0.742; 0.000; 0.000; 1.559; 0.351; 0.070; 0.000; 0.000 μB/atom, respectively.